(1)
Ba3Pb5: single point on PBEsol structure, SCAN.

Computed properties:
- Density of states at the Fermi level: 15.9 states/eV per cell
- ΔH_f (0 K): -16.6 kcal/mol of atoms
- Calculated total energy: -2013.3 eV per cell

Cell lengths 11.1187, 9.0196, 11.2989 Å; angles 90.00, 90.00, 90.00 degrees
With the nearest neighbours (Å) after each atom.
Space group Cmcm (No. 63)
Unique sites:
Ba: 0.0000 0.1373 0.2500 [4 per cell]  9 Pb 3.48-3.88
Ba: 0.2069 0.5000 0.0000 [8 per cell]  10 Pb 3.57-3.83
Pb: 0.0000 0.1962 0.5545 [8 per cell]  3 Pb 3.15-3.27, 1 Ba 3.48
Pb: 0.0000 0.4631 0.7500 [4 per cell]  4 Pb 3.17-3.27
Pb: 0.2015 0.2137 0.7500 [8 per cell]  3 Pb 3.15-3.17

=====

(2)
BaPb: single point on PBEsol structure, SCAN.

Computed properties:
- Density of states at the Fermi level: 8.2 states/eV per cell
- ΔH_f (0 K): -17.0 kcal/mol of atoms
- Calculated total energy: -934.5 eV per cell

Cell lengths 7.6825, 12.2464, 6.3696 Å; angles 90.00, 90.00, 90.00 degrees
With the nearest neighbours (Å) after each atom.
Space group Cmcm (No. 63)
Unique sites:
Ba: 0.0000 0.1068 0.2500 [4 per cell]  8 Pb 3.57-3.92, 2 Ba 3.88
Ba: 0.0000 0.3464 0.7500 [4 per cell]  8 Pb 3.57-3.67, 2 Ba 3.88
Pb: 0.2033 0.3822 0.2500 [8 per cell]  1 Pb 3.12

=====

(3)
BaPb3: single point on PBEsol structure, SCAN.

Computed properties:
- Density of states at the Fermi level: 4.9 states/eV per cell
- ΔH_f (0 K): -8.0 kcal/mol of atoms
- Calculated total energy: -536.6 eV per cell

Cell lengths 3.7686, 11.5008, 6.0390 Å; angles 90.00, 90.00, 90.00 degrees
With the nearest neighbours (Å) after each atom.
Space group Imm2 (No. 44)
Unique sites:
Ba: 0.0000 0.0000 0.0000 [2 per cell]  10 Pb 3.52-3.67, 2 Ba 3.77
Pb: 0.0000 0.2324 0.3937 [4 per cell]  6 Pb 3.34-3.58, 3 Ba 3.58-3.67
Pb: 0.0000 0.5000 0.0084 [2 per cell]  4 Pb 3.34, 4 Ba 3.52-3.60

=====

(4)
BaPb: single point on PBEsol structure, SCAN.

Computed properties:
- Density of states at the Fermi level: 1.7 states/eV per cell
- ΔH_f (0 K): -9.9 kcal/mol of atoms
- Calculated total energy: -232.4 eV per cell

Cell lengths 4.6626, 4.6626, 9.9252 Å; angles 90.00, 90.00, 120.00 degrees
With the nearest neighbours (Å) after each atom.
Space group P-3m1 (No. 164)
Unique sites:
Ba: 0.3333 0.6667 0.3053 [2 per cell]  4 Pb 3.54-3.76
Pb: 0.3333 0.6667 0.9262 [2 per cell]  3 Pb 3.06

=====

(5)
BaPt4Pb: single point on PBEsol structure, SCAN.

Computed properties:
- Density of states at the Fermi level: 11.1 states/eV per cell
- ΔH_f (0 K): -10.9 kcal/mol of atoms
- Calculated total energy: -1595.7 eV per cell

Cell lengths 7.7886, 7.7886, 7.7886 Å; angles 90.00, 90.00, 90.00 degrees
With the nearest neighbours (Å) after each atom.
Space group F-43m (No. 216)
Unique sites:
Ba: 0.0000 0.0000 0.0000 [4 per cell]  12 Pt 3.23, 4 Pb 3.37
Pt: 0.1243 0.1243 0.6243 [16 per cell]  6 Pt 2.74-2.77
Pb: 0.2500 0.2500 0.2500 [4 per cell]  12 Pt 3.23, 4 Ba 3.37

=====

(6)
Ba3PtPb: single point on PBEsol structure, SCAN.

Computed properties:
- Density of states at the Fermi level: 2.6 states/eV per cell
- ΔH_f (0 K): 3.3 kcal/mol of atoms
- Calculated total energy: -263.9 eV per cell

Cell lengths 6.4477, 6.4477, 6.4477 Å; angles 90.00, 90.00, 90.00 degrees
With the nearest neighbours (Å) after each atom.
Space group Pm-3m (No. 221)
Unique sites:
Ba: 0.0000 0.0000 0.5000 [3 per cell]  2 Pb 3.22
Pt: 0.5000 0.5000 0.5000 [1 per cell]  12 Ba 4.56
Pb: 0.0000 0.0000 0.0000 [1 per cell]  6 Ba 3.22

=====

(7)
Ba2PtPb: single point on PBEsol structure, SCAN.

Computed properties:
- Density of states at the Fermi level: 1.5 states/eV per cell
- ΔH_f (0 K): -17.0 kcal/mol of atoms
- Calculated total energy: -228.0 eV per cell

Cell lengths 3.7623, 3.7623, 9.0000 Å; angles 90.00, 90.00, 90.00 degrees
With the nearest neighbours (Å) after each atom.
Space group P4/mmm (No. 123)
Unique sites:
Ba: 0.0000 0.0000 0.2094 [2 per cell]  4 Pt 3.26
Pt: 0.5000 0.5000 0.0000 [1 per cell]  8 Ba 3.26
Pb: 0.5000 0.5000 0.5000 [1 per cell]  8 Ba 3.73, 4 Pb 3.76

=====

(8)
BaPt3Pb: single point on PBEsol structure, SCAN.

Computed properties:
- Density of states at the Fermi level: 4.4 states/eV per cell
- ΔH_f (0 K): 33.8 kcal/mol of atoms
- Calculated total energy: -318.6 eV per cell

Cell lengths 5.2395, 5.2395, 5.2395 Å; angles 90.00, 90.00, 90.00 degrees
With the nearest neighbours (Å) after each atom.
Space group Pm-3m (No. 221)
Unique sites:
Ba: 0.0000 0.0000 0.0000 [1 per cell]  6 Pt 2.62
Pt: 0.0000 0.0000 0.5000 [3 per cell]  2 Ba 2.62
Pb: 0.5000 0.5000 0.5000 [1 per cell]  12 Pt 3.70

=====

(9)
BaRe2Pb: single point on PBEsol structure, SCAN.

Computed properties:
- Density of states at the Fermi level: 3.5 states/eV per cell
- ΔH_f (0 K): 30.0 kcal/mol of atoms
- Calculated total energy: -252.3 eV per cell

Cell lengths 3.7577, 3.7577, 6.9756 Å; angles 90.00, 90.00, 90.00 degrees
With the nearest neighbours (Å) after each atom.
Space group P4/mmm (No. 123)
Unique sites:
Ba: 0.0000 0.0000 0.0000 [1 per cell]  2 Pb 3.49, 8 Re 3.54, 4 Ba 3.76
Re: 0.5000 0.5000 0.3360 [2 per cell]  1 Re 2.29
Pb: 0.0000 0.0000 0.5000 [1 per cell]  8 Re 2.89

=====

(10)
Ba3RePb: single point on PBEsol structure, SCAN.

Computed properties:
- Density of states at the Fermi level: 7.3 states/eV per cell
- ΔH_f (0 K): 25.2 kcal/mol of atoms
- Calculated total energy: -260.1 eV per cell

Cell lengths 6.5122, 6.5122, 6.5122 Å; angles 90.00, 90.00, 90.00 degrees
With the nearest neighbours (Å) after each atom.
Space group Pm-3m (No. 221)
Unique sites:
Ba: 0.0000 0.0000 0.5000 [3 per cell]  2 Pb 3.26
Re: 0.5000 0.5000 0.5000 [1 per cell]  12 Ba 4.60
Pb: 0.0000 0.0000 0.0000 [1 per cell]  6 Ba 3.26

=====

(11)
BaTiRePb2: single point on PBEsol structure, SCAN.

Computed properties:
- Density of states at the Fermi level: 4.0 states/eV per cell
- ΔH_f (0 K): 9.2 kcal/mol of atoms
- Calculated total energy: -276.2 eV per cell

Cell lengths 5.3909, 5.3909, 4.7014 Å; angles 90.00, 90.00, 90.00 degrees
With the nearest neighbours (Å) after each atom.
Space group P4/mmm (No. 123)
Unique sites:
Ba: 0.0000 0.0000 0.0000 [1 per cell]  8 Pb 3.58, 4 Re 3.81
Ti: 0.5000 0.5000 0.5000 [1 per cell]  2 Re 2.35
Re: 0.5000 0.5000 0.0000 [1 per cell]  2 Ti 2.35
Pb: 0.0000 0.5000 0.5000 [2 per cell]  2 Ti 2.70

=====

(12)
Ba4RhPb: single point on PBEsol structure, SCAN.

Computed properties:
- Density of states at the Fermi level: 22.3 states/eV per cell
- ΔH_f (0 K): 12.8 kcal/mol of atoms
- Calculated total energy: -1057.7 eV per cell

Cell lengths 9.5234, 9.5234, 9.5234 Å; angles 90.00, 90.00, 90.00 degrees
With the nearest neighbours (Å) after each atom.
Space group F-43m (No. 216)
Unique sites:
Ba: 0.1252 0.1252 0.1252 [16 per cell]  6 Ba 3.36-3.37
Rh: 0.0000 0.0000 0.5000 [4 per cell]  12 Ba 3.95, 4 Pb 4.12
Pb: 0.2500 0.2500 0.7500 [4 per cell]  12 Ba 3.95, 4 Rh 4.12

=====

(13)
BaRh2Pb: single point on PBEsol structure, SCAN.

Computed properties:
- Density of states at the Fermi level: 12.8 states/eV per cell
- ΔH_f (0 K): -6.9 kcal/mol of atoms
- Calculated total energy: -552.2 eV per cell

Cell lengths 4.3847, 4.3847, 18.1858 Å; angles 90.00, 90.00, 120.00 degrees
With the nearest neighbours (Å) after each atom.
Space group R3m (No. 160, hexagonal axes)
Unique sites:
Ba: 0.0000 0.0000 0.0000 [3 per cell]  6 Rh 3.35-3.42, 4 Pb 3.54-3.57
Rh: 0.0000 0.0000 0.4596 [3 per cell]  3 Rh 2.53, 3 Pb 2.82
Rh: 0.0000 0.0000 0.7871 [3 per cell]  3 Rh 2.53
Pb: 0.0000 0.0000 0.1948 [3 per cell]  6 Rh 2.82-2.87

=====

(14)
BaRhPbW2: single point on PBEsol structure, SCAN.

Computed properties:
- Density of states at the Fermi level: 4.5 states/eV per cell
- ΔH_f (0 K): 32.7 kcal/mol of atoms
- Calculated total energy: -281.4 eV per cell

Cell lengths 4.9039, 4.9039, 5.1743 Å; angles 90.00, 90.00, 90.00 degrees
With the nearest neighbours (Å) after each atom.
Space group P4/mmm (No. 123)
Unique sites:
Ba: 0.0000 0.0000 0.0000 [1 per cell]  4 Pb 3.47, 8 W 3.56
Rh: 0.5000 0.5000 0.5000 [1 per cell]  4 W 2.45, 2 Pb 2.59
Pb: 0.5000 0.5000 0.0000 [1 per cell]  2 Rh 2.59
W: 0.0000 0.5000 0.5000 [2 per cell]  2 Rh 2.45

=====

(15)
BaRuPb2: single point on PBEsol structure, SCAN.

Computed properties:
- Density of states at the Fermi level: 3.0 states/eV per cell
- ΔH_f (0 K): 8.7 kcal/mol of atoms
- Calculated total energy: -224.4 eV per cell

Cell lengths 4.5502, 4.5502, 5.0468 Å; angles 90.00, 90.00, 90.00 degrees
With the nearest neighbours (Å) after each atom.
Space group P4/mmm (No. 123)
Unique sites:
Ba: 0.0000 0.0000 0.0000 [1 per cell]  4 Ru 3.22, 8 Pb 3.40
Ru: 0.5000 0.5000 0.0000 [1 per cell]  4 Ba 3.22, 8 Pb 3.40
Pb: 0.0000 0.5000 0.5000 [2 per cell]  4 Pb 3.22, 4 Ba 3.40, 4 Ru 3.40

=====

(16)
Ba2Ru2Pb: single point on PBEsol structure, SCAN.

Computed properties:
- Density of states at the Fermi level: 10.3 states/eV per cell
- ΔH_f (0 K): 12.1 kcal/mol of atoms
- Calculated total energy: -443.8 eV per cell

Cell lengths 6.1298, 6.1298, 7.7174 Å; angles 90.00, 90.00, 90.00 degrees
With the nearest neighbours (Å) after each atom.
Space group I4/mmm (No. 139)
Unique sites:
Ba: 0.0000 0.5000 0.2500 [4 per cell]  4 Ru 3.16
Ru: 0.0000 0.0000 0.1500 [4 per cell]  1 Ru 2.32
Pb: 0.0000 0.0000 0.5000 [2 per cell]  2 Ru 2.70

=====

(17)
BaRuPb3: single point on PBEsol structure, SCAN.

Computed properties:
- Density of states at the Fermi level: 6.4 states/eV per cell
- ΔH_f (0 K): -0.9 kcal/mol of atoms
- Calculated total energy: -301.9 eV per cell

Cell lengths 5.3059, 5.3059, 5.3059 Å; angles 90.00, 90.00, 90.00 degrees
With the nearest neighbours (Å) after each atom.
Space group Pm-3m (No. 221)
Unique sites:
Ba: 0.0000 0.0000 0.0000 [1 per cell]  12 Pb 3.75
Ru: 0.5000 0.5000 0.5000 [1 per cell]  6 Pb 2.65
Pb: 0.0000 0.5000 0.5000 [3 per cell]  2 Ru 2.65

=====

(18)
Ba3PbS: single point on PBEsol structure, SCAN.

Computed properties:
- Raw formation energy: -457 meV per atom
- Density of states at the Fermi level: 1.1 states/eV per cell
- Calculated total energy: -206.3 eV per cell

Cell lengths 6.4809, 6.4809, 6.4809 Å; angles 90.00, 90.00, 90.00 degrees
With the nearest neighbours (Å) after each atom.
Space group Pm-3m (No. 221)
Unique sites:
Ba: 0.0000 0.0000 0.5000 [3 per cell]  2 Pb 3.24
Pb: 0.0000 0.0000 0.0000 [1 per cell]  6 Ba 3.24
S: 0.5000 0.5000 0.5000 [1 per cell]  12 Ba 4.58

=====

(19)
Ba2Sb2Pb: single point on PBEsol structure, SCAN.

Computed properties:
- Raw formation energy: -883 meV per atom
- Density of states at the Fermi level: 5.2 states/eV per cell
- Calculated total energy: -467.6 eV per cell

Cell lengths 8.3931, 8.3931, 5.0319 Å; angles 90.00, 90.00, 90.00 degrees
With the nearest neighbours (Å) after each atom.
Space group P4/mbm (No. 127)
Unique sites:
Ba: 0.1783 0.3217 0.0000 [4 per cell]  6 Sb 3.45-3.59
Sb: 0.1225 0.6225 0.5000 [4 per cell]  1 Sb 2.91
Pb: 0.0000 0.0000 0.5000 [2 per cell]  4 Sb 3.33

=====

(20)
BaSbPb: single point on PBEsol structure, SCAN.

Computed properties:
- Raw formation energy: -742 meV per atom
- Density of states at the Fermi level: 1.0 states/eV per cell
- ΔE to the lowest computed polymorph: 22.4 meV/atom
- Calculated total energy: -154.8 eV per cell

Cell lengths 5.2452, 5.2452, 4.5662 Å; angles 90.00, 90.00, 120.00 degrees
With the nearest neighbours (Å) after each atom.
Space group P-6m2 (No. 187)
Unique sites:
Ba: 0.0000 0.0000 0.0000 [1 per cell]  6 Pb 3.79, 6 Sb 3.79
Sb: 0.3333 0.6667 0.5000 [1 per cell]  3 Pb 3.03
Pb: 0.6667 0.3333 0.5000 [1 per cell]  3 Sb 3.03

=====

| no. | volume (Å³ per cell) |
| --- | --- |
| 1 | 1133.1 |
| 2 | 599.3 |
| 3 | 261.7 |
| 4 | 186.9 |
| 5 | 472.5 |
| 6 | 268.0 |
| 7 | 127.4 |
| 8 | 143.8 |
| 9 | 98.5 |
| 10 | 276.2 |
| 11 | 136.6 |
| 12 | 863.7 |
| 13 | 302.8 |
| 14 | 124.4 |
| 15 | 104.5 |
| 16 | 290.0 |
| 17 | 149.4 |
| 18 | 272.2 |
| 19 | 354.5 |
| 20 | 108.8 |